VASP calculation (SCAN) on MoAs2F at its PBEsol-relaxed geometry.

```
data_MoAs2F
_chemical_formula_sum 'Mo1 As2 F1'
_space_group_name_H-M_alt 'P 1'
_space_group_IT_number 1
_cell_length_a 4.363
_cell_length_b 4.363
_cell_length_c 4.363
_cell_angle_alpha 60.00
_cell_angle_beta 60.00
_cell_angle_gamma 60.00
loop_
_space_group_symop_operation_xyz
'x,y,z'
loop_
_atom_site_label
_atom_site_fract_x
_atom_site_fract_y
_atom_site_fract_z
As1 0.750 0.750 0.750
As2 0.250 0.250 0.250
Mo1 0.500 0.500 0.500
F1 0.000 0.000 0.000
```

Properties
DOS(E_F) ... 2.660 states/eV/f.u.
Energy ... -19.825 eV per atom
Symmetry ... No. 225